1.
## SrPd3F (PBE-GGA)

Data for a relaxed structure of SrPd3F.

The space group is Pm-3m (No. 221) and the conventional cell measures 5.296, 5.296 and 5.296 Å, with angles of 90.00, 90.00 and 90.00 degrees. The inequivalent atoms are Sr at (0.000, 0.000, 0.000), Pd at (0.000, 0.000, 0.500) and F at (0.500, 0.500, 0.500).

The value obtained for the formation energy (no corrections) is 3.92 eV/f.u.

2.
## SrPd2F6 (PBE-GGA)

Data for a relaxed structure of SrPd2F6.

The space group is C2/m (No. 12) and the conventional cell measures 13.124, 4.114 and 5.816 Å, with angles of 90.00, 99.55 and 90.00 degrees. The inequivalent atoms are Sr at (0.000, 0.000, 0.000), Pd at (0.238, 0.500, 0.255), F at (0.083, 0.500, 0.189), F at (0.110, 0.000, 0.698) and F at (0.223, 0.000, 0.214).

The value obtained for the formation energy (no corrections) is -18.16 eV/f.u.

3.
## SrPdF3 (PBE-GGA)

Data for a relaxed structure of SrPdF3.

The space group is Pm-3m (No. 221) and the conventional cell measures 4.711, 4.711 and 4.711 Å, with angles of 90.00, 90.00 and 90.00 degrees. The inequivalent atoms are Sr at (0.000, 0.000, 0.000), Pd at (0.500, 0.500, 0.500) and F at (0.000, 0.000, 0.500).

The value obtained for the formation energy (no corrections) is -10.24 eV/f.u.

4.
## SrPd3F (PBE-GGA)

Data for a relaxed structure of SrPd3F.

The space group is Pm-3m (No. 221) and the conventional cell measures 4.589, 4.589 and 4.589 Å, with angles of 90.00, 90.00 and 90.00 degrees. The inequivalent atoms are Sr at (0.000, 0.000, 0.000), Pd at (0.000, 0.500, 0.500) and F at (0.500, 0.500, 0.500).

The value obtained for the formation energy (no corrections) is -1.72 eV/f.u.

5.
## SrPdF2 (PBE-GGA)

Data for a relaxed structure of SrPdF2.

The space group is Fm-3m (No. 225) and the conventional cell measures 6.284, 6.284 and 6.284 Å, with angles of 90.00, 90.00 and 90.00 degrees. The inequivalent atoms are Sr at (0.000, 0.000, 0.000), Pd at (0.000, 0.000, 0.500) and F at (0.250, 0.250, 0.250).

The value obtained for the formation energy (no corrections) is -8.16 eV/f.u.

6.
## SrPdF2 (PBE-GGA)

Data for a relaxed structure of SrPdF2.

The space group is I-42d (No. 122) and the conventional cell measures 4.496, 4.496 and 14.811 Å, with angles of 90.00, 90.00 and 90.00 degrees. The inequivalent atoms are Sr at (0.000, 0.000, 0.000), Pd at (0.000, 0.000, 0.500) and F at (0.248, 0.250, 0.125).

The value obtained for the formation energy (no corrections) is -8.15 eV/f.u.